[1]
# AgIrPt2

A PBEsol-optimized structure of AgIrPt2 (meta-GGA SCAN, Alexandria via LeMat-Bulk).

Results
volume	14.977	Å³ per atom
space-group type	I-4m2
formation energy from the elements	0.244	eV/atom
density of states at the Fermi level	1.011	states/eV per atom

a = 3.9300 Å, b = 3.9300 Å, c = 4.7716 Å
α = 114.32°, β = 114.32°, γ = 90.00°
Positions (direct):
Ir  0.2500  0.7500  0.5000
Ag  0.5000  0.5000  0.0000
Pt  0.0000  0.0000  0.0000
Pt  0.7500  0.2500  0.5000

***

[2]
# Ag2IrPt

A PBEsol-optimized structure of Ag2IrPt (meta-GGA SCAN, Alexandria via LeMat-Bulk).

Results
volume	15.443	Å³ per atom
space-group type	I4/mmm
formation energy from the elements	0.410	eV/atom
density of states at the Fermi level	1.245	states/eV per atom

a = 3.8446 Å, b = 3.8446 Å, c = 4.9856 Å
α = 112.68°, β = 112.68°, γ = 90.00°
Each line ends with the local moment (μB).
Positions (direct):
Ir  0.5000  0.5000  0.0000  0.82
Ag  0.7500  0.2500  0.5000  0.03
Ag  0.2500  0.7500  0.5000  0.03
Pt  0.0000  0.0000  0.0000  0.31

***

[3]
# AgIr2Pt

A PBEsol-optimized structure of AgIr2Pt (meta-GGA SCAN, Alexandria via LeMat-Bulk).

Results
volume	15.106	Å³ per atom
space-group type	Cmm2
formation energy from the elements	0.245	eV/atom
density of states at the Fermi level	0.847	states/eV per atom

a = 2.6951 Å, b = 2.7184 Å, c = 9.4966 Å
α = 90.00°, β = 90.00°, γ = 119.72°
Positions (direct):
Ir  0.0000  0.0000  0.0094
Ir  0.5000  0.0000  0.2449
Pt  0.0000  0.0000  0.4942
Ag  0.5000  0.0000  0.7516

***

[4]
# AgIrPt

A PBEsol-optimized structure of AgIrPt (meta-GGA SCAN, Alexandria via LeMat-Bulk).

Results
volume	18.018	Å³ per atom
space-group type	F-43m
formation energy from the elements	0.746	eV/atom
density of states at the Fermi level	1.445	states/eV per atom

a = 4.2441 Å, b = 4.2441 Å, c = 4.2441 Å
α = 60.00°, β = 60.00°, γ = 60.00°
Each line ends with the local moment (μB).
Positions (direct):
Ir  0.2500  0.2500  0.2500  0.74
Ag  0.5000  0.5000  0.5000  0.04
Pt  0.0000  0.0000  0.0000  0.48

***

[5]
# Ag2IrPt

A PBEsol-optimized structure of Ag2IrPt (meta-GGA SCAN, Alexandria via LeMat-Bulk).

Results
volume	15.315	Å³ per atom
space-group type	C2/m
formation energy from the elements	0.183	eV/atom
density of states at the Fermi level	0.631	states/eV per atom

a = 2.7262 Å, b = 4.7934 Å, c = 4.9454 Å
α = 99.19°, β = 106.00°, γ = 90.00°
Each line ends with the local moment (μB).
Positions (direct):
Ir  0.0000  0.5000  0.0000  0.33
Ag  0.2513  0.2518  0.5025  0.00
Ag  0.7487  0.7482  0.4975  0.00
Pt  0.5000  0.0000  0.0000  0.01

***

[6]
# Ag2IrPt

A PBEsol-optimized structure of Ag2IrPt (meta-GGA SCAN, Alexandria via LeMat-Bulk).

Results
volume	15.520	Å³ per atom
space-group type	F-43m
formation energy from the elements	0.428	eV/atom
density of states at the Fermi level	1.257	states/eV per atom

a = 4.4445 Å, b = 4.4445 Å, c = 4.4445 Å
α = 60.00°, β = 60.00°, γ = 60.00°
Positions (direct):
Ir  0.5000  0.5000  0.5000
Ag  0.0000  0.0000  0.0000
Ag  0.2500  0.2500  0.2500
Pt  0.7500  0.7500  0.7500

***

[7]
# Ag2IrPt

A PBEsol-optimized structure of Ag2IrPt (meta-GGA SCAN, Alexandria via LeMat-Bulk).

Results
volume	15.503	Å³ per atom
space-group type	C2/m
formation energy from the elements	0.223	eV/atom
density of states at the Fermi level	0.678	states/eV per atom

a = 2.7003 Å, b = 4.7812 Å, c = 5.5251 Å
α = 115.43°, β = 103.80°, γ = 90.77°
Each line ends with the local moment (μB).
Positions (direct):
Ir  0.0000  0.5000  0.0000  0.39
Ag  0.0000  0.0000  0.5000  0.00
Ag  0.5000  0.5000  0.5000  0.00
Pt  0.5000  0.0000  0.0000  0.01

***

[8]
# Ag2IrPt

A PBEsol-optimized structure of Ag2IrPt (meta-GGA SCAN, Alexandria via LeMat-Bulk).

Results
volume	15.502	Å³ per atom
space-group type	Fm-3m
formation energy from the elements	0.607	eV/atom
density of states at the Fermi level	1.090	states/eV per atom

a = 4.4428 Å, b = 4.4428 Å, c = 4.4428 Å
α = 60.00°, β = 60.00°, γ = 60.00°
Each line ends with the local moment (μB).
Positions (direct):
Ir  0.0000  0.0000  0.0000  1.05
Ag  0.7500  0.7500  0.7500  0.08
Ag  0.2500  0.2500  0.2500  0.08
Pt  0.5000  0.5000  0.5000  0.35

***

[9]
# Ag2IrPt

A PBEsol-optimized structure of Ag2IrPt (meta-GGA SCAN, Alexandria via LeMat-Bulk).

Results
volume	15.449	Å³ per atom
space-group type	Pmmm
formation energy from the elements	0.372	eV/atom
density of states at the Fermi level	1.196	states/eV per atom

a = 2.6730 Å, b = 4.2251 Å, c = 5.4719 Å
α = 90.00°, β = 90.00°, γ = 90.00°
Positions (direct):
Ir  0.5000  0.5000  0.0000
Ag  0.0000  0.0000  0.7517
Ag  0.0000  0.0000  0.2483
Pt  0.5000  0.5000  0.5000

***

[10]
# RbAgIr3

A PBEsol-optimized structure of RbAgIr3 (meta-GGA SCAN, Alexandria via LeMat-Bulk).

Results
volume	21.212	Å³ per atom
space-group type	Pm-3m
formation energy from the elements	3.568	eV/atom
density of states at the Fermi level	1.177	states/eV per atom

a = 4.7335 Å, b = 4.7335 Å, c = 4.7335 Å
α = 90.00°, β = 90.00°, γ = 90.00°
Each line ends with the local moment (μB).
Positions (direct):
Ir  0.0000  0.5000  0.0000  0.67
Ir  0.0000  0.0000  0.5000  0.67
Ir  0.5000  0.0000  0.0000  0.67
Rb  0.0000  0.0000  0.0000  -0.01
Ag  0.5000  0.5000  0.5000  0.00

***

- Among the records above, which one has the highest formation energy from the elements?
  RbAgIr3